Material: AcMgZnAu
Method: DFT, PBE
State: optimized geometry

POSCAR file:
```
AcMgZnAu
1.0
-0.2605 4.7587 0.2723
-3.9435 -2.5628 -0.8269
1.9056 -0.2099 5.4916
Mg Zn Au Ac
1 1 1 1
Direct
0.1099 0.2197 0.9718
0.8291 0.6583 0.1302
0.4105 0.8210 0.8736
0.6168 0.2335 0.4918
```

Properties
* calculated total energy: -3.0441 eV/atom
* spin magnetization: 0.00 μB per atom
* calculated density: 8.46 Mg/m³
* space group: Cm (8)
* V: 25.205 Å³/atom